# 1
DFT (GGA-PBE) results for DyErAg2Pb2 after structural relaxation.

raw total energy	-4.0975	eV per atom

abc: 4.7988 4.7988 7.4395
angles: 90.00 90.00 120.00
With the nearest neighbours (Å) after each atom.
Space group P3m1 (No. 156)
Unique sites:
Dy  0.0000  0.0000  0.0000 x1  3 Ag 3.10, 6 Pb 3.22-3.47
Er  0.0000  0.0000  0.5005 x1  3 Ag 3.08, 3 Pb 3.22
Ag  0.3333  0.6667  0.1854 x1  4 Pb 2.86-3.03, 3 Dy 3.10
Ag  0.6667  0.3333  0.6826 x1  4 Pb 2.86-3.00, 3 Er 3.08
Pb  0.3333  0.6667  0.7783 x1  4 Ag 2.86-3.03
Pb  0.6667  0.3333  0.2800 x1  4 Ag 2.86-3.00



# 2
DFT (GGA-PBE) results for CdSnSeO after structural relaxation.

raw total energy	-4.1183	eV per atom
relative energy among the computed polymorphs	22	meV/atom

abc: 6.3341 7.5248 7.6494
angles: 90.00 90.00 90.00
With the nearest neighbours (Å) after each atom.
Space group P2_12_12_1 (No. 19)
Unique sites:
Cd  0.0318  0.0838  0.0838 x4  1 O 2.22
Sn  0.0728  0.6610  0.8680 x4  2 O 2.11-2.15
Se  0.1065  0.9137  0.3998 x4  3 Cd 2.64-2.78, 1 Sn 2.81
O  0.1348  0.3429  0.5118 x4  2 Sn 2.11-2.15, 1 Cd 2.22



# 3
DFT (GGA-PBE) results for ErTmMo2C3 after structural relaxation.

raw total energy	-8.6939	eV per atom

abc: 11.2779 3.3614 5.6497
angles: 90.00 108.45 90.00
With the nearest neighbours (Å) after each atom.
Space group Cm (No. 8)
Unique sites:
Er  0.0000  0.0000  0.0000 x2  5 C 2.39-2.56
Tm  0.2294  0.0000  0.6384 x2  5 C 2.39-2.55
Mo  0.2636  0.5000  0.1901 x2  4 C 2.04-2.12
Mo  0.4656  0.0000  0.4491 x2  4 C 2.03-2.13
C  0.1149  0.5000  0.3209 x2  2 Mo 2.03-2.04
C  0.3444  0.0000  0.0739 x2  3 Mo 2.11-2.13
C  0.3839  0.5000  0.5643 x2  3 Mo 2.12



# 4
DFT (GGA-PBE) results for Y2MgRe3 after structural relaxation.

raw total energy	-8.7154	eV per atom

abc: 5.3295 5.3295 9.4279
angles: 90.00 90.00 120.00
With the nearest neighbours (Å) after each atom.
Space group P6_3/mmc (No. 194)
Unique sites:
Y  0.3333  0.6667  0.0721 x4  9 Re 3.15-3.39, 3 Mg 3.15, 4 Y 3.35-3.36
Mg  0.0000  0.0000  0.0000 x2  6 Re 2.83, 6 Y 3.15
Re  0.1698  0.3395  0.7500 x6  4 Re 2.62-2.71, 2 Mg 2.83



# 5
DFT (GGA-PBE) results for ZnPdAu after structural relaxation.

raw total energy	-3.3074	eV per atom
E_form	-0.072	eV per atom
relative energy among the computed polymorphs	291	meV/atom

abc: 6.1289 6.1289 6.1289
angles: 90.00 90.00 90.00
With the nearest neighbours (Å) after each atom.
Space group F-43m (No. 216)
Unique sites:
Zn  0.0000  0.0000  0.0000 x4  4 Pd 2.65
Pd  0.2500  0.2500  0.7500 x4  4 Zn 2.65, 4 Au 2.65
Au  0.0000  0.0000  0.5000 x4  4 Pd 2.65



# 6
DFT (GGA-PBE) results for Lu4CuSN2 after structural relaxation.

raw total energy	-6.7077	eV per atom

abc: 3.4593 3.4593 12.9689
angles: 90.00 90.00 120.00
With the nearest neighbours (Å) after each atom.
Space group P-6m2 (No. 187)
Unique sites:
Lu  0.0000  0.0000  0.1432 x2  3 N 2.31
Lu  0.3333  0.6667  0.3465 x2  3 N 2.49
Cu  0.0000  0.0000  0.5000 x1  6 Lu 2.82
S  0.3333  0.6667  0.0000 x1  6 Lu 2.73
N  0.6667  0.3333  0.2319 x2  6 Lu 2.31-2.49